Entry from the Alexandria database: Ac4Tl2N after structural relaxation (PBE-GGA).

abc: 7.203 7.561 9.950
angles: 90.00 110.02 90.00
Element x y z (fractional)
Ac 0.013 0.004 0.270
Ac 0.013 0.496 0.270
Ac 0.385 0.750 0.055
Ac 0.428 0.750 0.649
Ac 0.572 0.250 0.351
Ac 0.615 0.250 0.945
Ac 0.987 0.504 0.730
Ac 0.987 0.996 0.730
Tl 0.187 0.250 0.033
Tl 0.293 0.250 0.585
Tl 0.707 0.750 0.415
Tl 0.813 0.750 0.967
N 0.216 0.750 0.796
N 0.784 0.250 0.204

Output
**Crystal system**: monoclinic
**Formation energy without anion corrections**: -543 meV/atom
**Energy above the most stable polymorph in this dataset**: 0 meV per atom
**Calculated total energy**: -4.7558 eV/atom